<a>
## Tb2Pm4Tm3 (PBE)

Data for Tb2Pm4Tm3 after structural relaxation.

```
18
Lattice="4.890 -8.453 0.000 4.890 8.453 0.000 0.000 0.000 7.032" Properties=species:S:1:pos:R:3 pbc="T T T"
Tb 1.869 2.691 0.000
Tb 1.869 -2.691 3.516
Tb 7.911 2.691 3.516
Tb 7.911 -2.691 0.000
Pm 3.482 5.502 3.516
Pm 3.278 0.293 3.516
Pm 6.298 5.502 0.000
Pm 3.278 -0.293 0.000
Pm 6.502 0.293 0.000
Pm 3.482 -5.502 0.000
Pm 6.502 -0.293 3.516
Pm 6.298 -5.502 3.516
Tm 0.000 0.000 1.758
Tm 0.000 0.000 5.274
Tm 4.890 2.864 1.758
Tm 4.890 2.864 5.274
Tm 4.890 -2.864 1.758
Tm 4.890 -2.864 5.274
```

Output
N(E_F) in states/eV/cell: 23.5
Calculated volume in Å³ per cell: 581.3



<b>
## Tb2Pm4Tm3 (PBE)

Data for Tb2Pm4Tm3 after structural relaxation.

```
9
Lattice="5.638 -2.534 0.000 5.638 2.534 0.000 -3.347 0.000 10.184" Properties=species:S:1:pos:R:3 pbc="T T T"
Tb 1.141 0.000 2.284
Tb 6.788 0.000 7.900
Pm -1.095 0.000 9.045
Pm 3.395 0.000 6.787
Pm 4.534 0.000 3.397
Pm 9.024 0.000 1.139
Tm 0.017 0.000 5.642
Tm 5.638 0.000 0.000
Tm 7.912 0.000 4.542
```

Output
N(E_F) in states/eV/cell: 11.6
Calculated volume in Å³ per cell: 291.0



Order from most stable to least stable according to the calculation: <b>, <a>



<a>
## Tb5Pm3Tm4 (PBE)

Data for Tb5Pm3Tm4 after structural relaxation.

```
12
Lattice="6.160 0.000 0.000 -0.017 7.116 0.000 -0.002 -0.014 8.707" Properties=species:S:1:pos:R:3 pbc="T T T"
Tb 0.000 0.000 0.000
Tb 2.051 3.554 2.908
Tb 3.057 5.335 8.706
Tb 3.084 1.767 0.001
Tb 4.090 3.548 5.799
Pm -0.009 3.558 0.000
Pm 1.015 1.762 5.795
Pm 5.127 5.340 2.912
Tm 1.020 5.340 5.797
Tm 2.058 -0.004 2.909
Tm 4.083 7.105 5.798
Tm 5.121 1.762 2.910
```

Output
N(E_F) in states/eV/cell: 15.3
Calculated volume in Å³ per cell: 381.7



<b>
## Tb5Pm3Tm4 (PBE)

Data for Tb5Pm3Tm4 after structural relaxation.

```
12
Lattice="8.961 -2.849 0.000 8.961 2.849 0.000 -3.998 0.000 7.695" Properties=species:S:1:pos:R:3 pbc="T T T"
Tb 0.000 0.000 0.000
Tb 5.674 0.000 0.884
Tb 4.837 0.000 4.373
Tb 9.086 0.000 3.323
Tb 8.250 0.000 6.811
Pm 2.444 0.000 1.677
Pm 8.961 0.000 0.000
Pm 11.480 0.000 6.018
Tm -2.193 0.000 5.349
Tm 1.072 0.000 4.982
Tm 12.852 0.000 2.713
Tm 16.117 0.000 2.346
```

Output
N(E_F) in states/eV/cell: 14.7
Calculated volume in Å³ per cell: 393.0



Order from most stable to least stable according to the calculation: <a>, <b>



<a>
## Tb2Pm3Tm2 (PBE)

Data for Tb2Pm3Tm2 after structural relaxation.

```
7
Lattice="-1.773 2.877 11.344 1.773 -2.877 11.344 1.773 2.877 -11.344" Properties=species:S:1:pos:R:3 pbc="T T T"
Tb 0.000 0.000 1.910
Tb 0.000 0.000 20.778
Pm 1.773 0.000 5.103
Pm 0.000 2.877 0.000
Pm 0.000 2.877 6.241
Tm 0.000 0.000 8.251
Tm 0.000 0.000 14.437
```

Output
N(E_F) in states/eV/cell: 13.3
Calculated volume in Å³ per cell: 231.5



<b>
## Tb2Pm3Tm2 (PBE)

Data for Tb2Pm3Tm2 after structural relaxation.

```
7
Lattice="5.642 -2.528 0.000 5.642 2.528 0.000 -1.146 0.000 7.939" Properties=species:S:1:pos:R:3 pbc="T T T"
Tb 2.262 0.000 1.124
Tb 7.874 0.000 6.815
Pm 3.381 0.000 4.538
Pm 5.642 0.000 0.000
Pm 6.756 0.000 3.401
Tm -0.009 0.000 5.672
Tm 10.146 0.000 2.267
```

Output
N(E_F) in states/eV/cell: 9.5
Calculated volume in Å³ per cell: 226.5



Order from most stable to least stable according to the calculation: <b>, <a>